# TlIn2SnPb PBE-GGA optimized geometry
# electronic total energy: -2.999 eV per atom
# ΔE_f: 0.11 eV/atom
data_TlIn2SnPb
_chemical_formula_sum 'Tl4 In8 Sn4 Pb4'
_space_group_name_H-M_alt 'C m c m'
_space_group_IT_number 63
_space_group_name_Hall '-C 2c 2'
_cell_length_a 6.159
_cell_length_b 16.036
_cell_length_c 6.175
_cell_angle_alpha 90.00
_cell_angle_beta 90.00
_cell_angle_gamma 90.00
loop_
_atom_site_label
_atom_site_type_symbol
_atom_site_fract_x
_atom_site_fract_y
_atom_site_fract_z
_atom_site_occupancy
Tl1 Tl 0.000 0.151 0.250 1
In1 In 0.248 0.500 0.000 1
Sn1 Sn 0.000 0.349 0.250 1
Pb1 Pb 0.000 0.244 0.750 1


# ZrInSn2Pb PBE-GGA optimized geometry
# electronic total energy: -3.661 eV per atom
# ΔE_f: 0.94 eV/atom
data_ZrInSn2Pb
_chemical_formula_sum 'Zr1 In1 Sn2 Pb1'
_space_group_name_H-M_alt 'P 4/m m m'
_space_group_IT_number 123
_space_group_name_Hall '-P 4 2'
_cell_length_a 5.492
_cell_length_b 5.492
_cell_length_c 5.603
_cell_angle_alpha 90.00
_cell_angle_beta 90.00
_cell_angle_gamma 90.00
loop_
_atom_site_label
_atom_site_type_symbol
_atom_site_fract_x
_atom_site_fract_y
_atom_site_fract_z
_atom_site_occupancy
Zr1 Zr 0.000 0.000 0.000 1
In1 In 0.500 0.500 0.500 1
Sn1 Sn 0.000 0.500 0.500 1
Pb1 Pb 0.500 0.500 0.000 1


# Sr2InPb PBE-GGA optimized geometry
# electronic total energy: -2.955 eV per atom
# ΔE_f: -0.50 eV/atom
data_Sr2InPb
_chemical_formula_sum 'Sr4 In2 Pb2'
_space_group_name_H-M_alt 'P 1 21/m 1'
_space_group_IT_number 11
_cell_length_a 6.688
_cell_length_b 4.796
_cell_length_c 9.676
_cell_angle_alpha 90.00
_cell_angle_beta 108.33
_cell_angle_gamma 90.00
loop_
_space_group_symop_operation_xyz
'x,y,z'
'-x,-y,-z'
'-x,y+1/2,-z'
'x,-y+1/2,z'
loop_
_atom_site_label
_atom_site_type_symbol
_atom_site_fract_x
_atom_site_fract_y
_atom_site_fract_z
_atom_site_occupancy
Sr1 Sr 0.207 0.250 0.431 1
Sr2 Sr 0.293 0.750 0.069 1
In1 In 0.131 0.250 0.789 1
Pb1 Pb 0.365 0.750 0.711 1


> Among the records above, which one has the lowest electronic total energy?

ZrInSn2Pb


> Which of these has the highest ΔE_f?

ZrInSn2Pb